A plane-wave DFT calculation with GGA-PBE was carried out for crystalline DyMgB12 at its relaxed geometry.

The structure belongs to space group P4/mmm (No. 123); the cell edges are 4.098, 4.098 and 8.226 Å and the angles 90.00°, 90.00° and 90.00°. Symmetry generates all atoms from Dy at (0.000, 0.000, 0.000), Mg at (0.000, 0.000, 0.500), B at (0.200, 0.500, 0.250), B at (0.500, 0.500, 0.099) and B at (0.500, 0.500, 0.400).

The value obtained for the energy of formation from the pure elements is -2.8 eV per formula unit.


A plane-wave DFT calculation with GGA-PBE was carried out for crystalline NdHfN at its relaxed geometry.

The structure belongs to space group P4/mmm (No. 123); the cell edges are 3.159, 3.159 and 5.523 Å and the angles 90.00°, 90.00° and 90.00°. Symmetry generates all atoms from Nd at (0.000, 0.000, 0.000), Hf at (0.500, 0.500, 0.500) and N at (0.000, 0.000, 0.500).

Its distance to the lowest polymorph of the same formula is 0 meV/atom. As for the energy relative to the elements, uncorrected: -1023.1 meV/atom.


A plane-wave DFT calculation with GGA-PBE was carried out for crystalline Hg2TeS at its relaxed geometry.

The structure belongs to space group Fm-3m (No. 225); the cell edges are 7.297, 7.297 and 7.297 Å and the angles 90.00°, 90.00° and 90.00°. Symmetry generates all atoms from Hg at (0.250, 0.250, 0.250), Te at (0.000, 0.000, 0.000) and S at (0.000, 0.000, 0.500).

Its distance to the lowest polymorph of the same formula is 543 meV/atom. As for the energy relative to the elements, uncorrected: 407.4 meV/atom.


A plane-wave DFT calculation with GGA-PBE was carried out for crystalline B2Ir4Pt at its relaxed geometry.

The structure belongs to space group Ima2 (No. 46); the cell edges are 7.752, 9.739 and 5.007 Å and the angles 90.00°, 90.00° and 90.00°. Symmetry generates all atoms from B at (0.000, 0.000, 0.000), B at (0.250, 0.191, 0.467), Ir at (0.030, 0.184, 0.219), Ir at (0.250, 0.087, 0.832), Ir at (0.250, 0.532, 0.844) and Pt at (0.250, 0.680, 0.349).

The value obtained for the energy of formation from the pure elements is 0.9 eV per formula unit.


A plane-wave DFT calculation with GGA-PBE was carried out for crystalline PuHgH at its relaxed geometry.

The structure belongs to space group P-3m1 (No. 164); the cell edges are 3.5493, 3.5493 and 10.5904 Å and the angles 90.00°, 90.00° and 120.00°. Symmetry generates all atoms from Pu at (0.3333, 0.6667, 0.3518), Hg at (0.3333, 0.6667, 0.8889) and H at (0.3333, 0.6667, 0.5645).

Its distance to the lowest polymorph of the same formula is 0 meV/atom.


A plane-wave DFT calculation with GGA-PBE was carried out for crystalline ZnCu2Mo at its relaxed geometry.

The structure belongs to space group Cmmm (No. 65); the cell edges are 5.457, 7.995 and 2.529 Å and the angles 90.00°, 90.00° and 90.00°. Symmetry generates all atoms from Zn at (0.000, 0.000, 0.000), Cu at (0.250, 0.250, 0.500) and Mo at (0.000, 0.500, 0.000).

The value obtained for the energy of formation from the pure elements is 0.8 eV per formula unit.


A plane-wave DFT calculation with GGA-PBE was carried out for crystalline CaNi2Br at its relaxed geometry.

The structure belongs to space group P4mm (No. 99); the cell edges are 3.374, 3.374 and 7.354 Å and the angles 90.00°, 90.00° and 90.00°. Symmetry generates all atoms from Ca at (0.000, 0.000, 0.000), Ni at (0.000, 0.000, 0.358), Ni at (0.500, 0.500, 0.287) and Br at (0.500, 0.500, 0.772).

Its distance to the lowest polymorph of the same formula is 45 meV/atom. As for the energy relative to the elements, uncorrected: -216.5 meV/atom.


A plane-wave DFT calculation with GGA-PBE was carried out for crystalline Th4C3O at its relaxed geometry.

The structure belongs to space group Cmmm (No. 65); the cell edges are 7.489, 10.606 and 3.758 Å and the angles 90.00°, 90.00° and 90.00°. Symmetry generates all atoms from Th at (0.000, 0.249, 0.000), Th at (0.245, 0.000, 0.500), C at (0.000, 0.000, 0.000), C at (0.250, 0.250, 0.500) and O at (0.000, 0.500, 0.000).

Its distance to the lowest polymorph of the same formula is 0 meV/atom. As for the energy relative to the elements, uncorrected: -969.2 meV/atom.


These records have E values of -6.365; -8.705; -1.561; -7.707; -6.158; -4.864; -4.026; -8.758 eV per atom, in the order they appear.